## A
# KTbPO

A relaxed structure of KTbPO (PBE, OQMD via LeMat-Bulk).

total magnetic moment: 0.00 Bohr magnetons per cell
space group: No. 26
calculated volume: 202.98 Å³ per cell

a b c (Å): 3.458 7.763 7.563
angles (deg): 90.00 90.00 90.00
Atoms (fractional coordinates):
O: 0.000 0.242 0.878
O: 0.000 0.758 0.378
P: 0.500 0.291 0.320
P: 0.500 0.709 0.820
K: 0.000 0.046 0.598
K: 0.000 0.954 0.098
Tb: 0.500 0.625 0.458
Tb: 0.500 0.375 0.958



## B
# KTbPO

A relaxed structure of KTbPO (PBE, OQMD via LeMat-Bulk).

total magnetic moment: 0.01 Bohr magnetons per cell
space group: No. 129
calculated volume: 170.12 Å³ per cell

a b c (Å): 4.010 4.010 10.582
angles (deg): 90.00 90.00 90.00
Atoms (fractional coordinates):
O: 0.750 0.250 0.000
O: 0.250 0.750 0.000
P: 0.750 0.750 0.273
P: 0.250 0.250 0.727
Tb: 0.250 0.250 0.101
Tb: 0.750 0.750 0.899
K: 0.750 0.250 0.500
K: 0.250 0.750 0.500



## C
# KTbPO

A relaxed structure of KTbPO (PBE, OQMD via LeMat-Bulk).

total magnetic moment: 0.00 Bohr magnetons per cell
space group: No. 26
calculated volume: 193.62 Å³ per cell

a b c (Å): 4.857 6.743 5.911
angles (deg): 90.00 90.00 90.00
Atoms (fractional coordinates):
Tb: 0.500 0.727 0.502
Tb: 0.500 0.273 0.002
P: 0.000 0.935 0.499
P: 0.000 0.065 0.999
K: 0.000 0.631 0.000
K: 0.000 0.369 0.500
O: 0.500 0.499 0.253
O: 0.500 0.501 0.753



Stability ranking, top and bottom: A is the most stable and B is the least stable.